Entry from Alexandria via LeMat-Bulk: a relaxed structure of La20S29O (PBE).

Lattice parameters (Å, degrees): 15.0512 15.0512 15.0512 117.76 117.76 93.92
Closest atoms and distances in Å follow each position.
Fractional coordinates of all 100 atoms:
La (0.0290, 0.6644, 0.3385)  6 S 2.76-3.04
La (0.0410, 0.3905, 0.0898)  7 S 2.86-3.06
La (0.0488, 0.9590, 0.3495)  7 S 2.86-3.06
La (0.1095, 0.4590, 0.9102)  7 S 2.86-3.06
La (0.1131, 0.1131, 0.7262)  8 S 2.91-3.09
La (0.1402, 0.6402, 0.7804)  8 S 2.95-3.12
La (0.1414, 0.3002, 0.5997)  7 S 2.84-3.09
La (0.1969, 0.0757, 0.1394)  1 O 2.45
La (0.1998, 0.3586, 0.4003)  7 S 2.84-3.09
La (0.2005, 0.8002, 0.1588)  7 S 2.84-3.09
La (0.3007, 0.9512, 0.9102)  7 S 2.86-3.06
La (0.3096, 0.9710, 0.6355)  6 S 2.76-3.04
La (0.3259, 0.6904, 0.6615)  6 S 2.76-3.04
La (0.3356, 0.6741, 0.3645)  6 S 2.76-3.04
La (0.3598, 0.1402, 0.5000)  8 S 2.95-3.12
La (0.3869, 0.3869, 0.2738)  8 S 2.91-3.09
La (0.4243, 0.3031, 0.8606)  1 O 2.45
La (0.4362, 0.5757, 0.8787)  1 O 2.45
La (0.4425, 0.5638, 0.1394)  1 O 2.45
La (0.4583, 0.8586, 0.1588)  7 S 2.84-3.09
La (0.5290, 0.1904, 0.3645)  6 S 2.76-3.04
La (0.5410, 0.4512, 0.6505)  7 S 2.86-3.06
La (0.5488, 0.1993, 0.0898)  7 S 2.86-3.06
La (0.6095, 0.6993, 0.6505)  7 S 2.86-3.06
La (0.6131, 0.8869, 0.0000)  8 S 2.91-3.09
La (0.6402, 0.8598, 0.5000)  8 S 2.95-3.12
La (0.6414, 0.0417, 0.8412)  7 S 2.84-3.09
La (0.6969, 0.5575, 0.1213)  1 O 2.45
La (0.6998, 0.2995, 0.8412)  7 S 2.84-3.09
La (0.7005, 0.5417, 0.4003)  7 S 2.84-3.09
La (0.8007, 0.8905, 0.3495)  7 S 2.86-3.06
La (0.8096, 0.1741, 0.3385)  6 S 2.76-3.04
La (0.8259, 0.1644, 0.6355)  6 S 2.76-3.04
La (0.8356, 0.4710, 0.6615)  6 S 2.76-3.04
La (0.8598, 0.3598, 0.2196)  8 S 2.95-3.12
La (0.8869, 0.6131, 0.0000)  8 S 2.91-3.09
La (0.9243, 0.0638, 0.1213)  1 O 2.45
La (0.9362, 0.0575, 0.8606)  1 O 2.45
La (0.9425, 0.8031, 0.8787)  1 O 2.45
La (0.9583, 0.7995, 0.5997)  7 S 2.84-3.09
S (0.0046, 0.8469, 0.1092)  4 La 2.85-3.05
S (0.0199, 0.4150, 0.6731)  4 La 2.84-2.95
S (0.0280, 0.6307, 0.9073)  6 La 2.92-3.12
S (0.0295, 0.2391, 0.8620)  5 La 2.91-3.06
S (0.0573, 0.8922, 0.5153)  5 La 2.98-3.18
S (0.0850, 0.4801, 0.3269)  4 La 2.84-2.95
S (0.1046, 0.9954, 0.8423)  4 La 2.85-3.05
S (0.1078, 0.6231, 0.1651)  5 La 2.98-3.18
S (0.1426, 0.1259, 0.3291)  5 La 2.96-3.10
S (0.1531, 0.2623, 0.1577)  4 La 2.85-3.05
S (0.1532, 0.7581, 0.6731)  4 La 2.84-2.95
S (0.1865, 0.8574, 0.9832)  5 La 2.96-3.10
S (0.2234, 0.1307, 0.6027)  6 La 2.92-3.12
S (0.2262, 0.5096, 0.6442)  5 La 2.85-3.09
S (0.2377, 0.3469, 0.8423)  4 La 2.85-3.05
S (0.2419, 0.9150, 0.3951)  4 La 2.84-2.95
S (0.2500, 0.7500, 0.5000)  4 La 2.76
S (0.2609, 0.4705, 0.1380)  5 La 2.91-3.06
S (0.2968, 0.6259, 0.9832)  5 La 2.96-3.10
S (0.3325, 0.1229, 0.8620)  5 La 2.91-3.06
S (0.3654, 0.0096, 0.2834)  5 La 2.85-3.09
S (0.3693, 0.2766, 0.3973)  6 La 2.92-3.12
S (0.3741, 0.3574, 0.6709)  5 La 2.96-3.10
S (0.3771, 0.1675, 0.1380)  5 La 2.91-3.06
S (0.3769, 0.5420, 0.4847)  5 La 2.98-3.18
S (0.3793, 0.7766, 0.9073)  6 La 2.92-3.12
S (0.4180, 0.7738, 0.2834)  5 La 2.85-3.09
S (0.4580, 0.9427, 0.8349)  5 La 2.98-3.18
S (0.4904, 0.1346, 0.7166)  5 La 2.85-3.09
S (0.5046, 0.3954, 0.1577)  4 La 2.85-3.05
S (0.5199, 0.8468, 0.6049)  4 La 2.84-2.95
S (0.5280, 0.6207, 0.3973)  6 La 2.92-3.12
S (0.5295, 0.6675, 0.7904)  5 La 2.91-3.06
S (0.5573, 0.0420, 0.1651)  5 La 2.98-3.18
S (0.5850, 0.2581, 0.6049)  4 La 2.84-2.95
S (0.6046, 0.7623, 0.1092)  4 La 2.85-3.05
S (0.6078, 0.4427, 0.4847)  5 La 2.98-3.18
S (0.6426, 0.3135, 0.0168)  5 La 2.96-3.10
S (0.6531, 0.4954, 0.8908)  4 La 2.85-3.05
S (0.6532, 0.9801, 0.3951)  4 La 2.84-2.95
S (0.6865, 0.7032, 0.3291)  5 La 2.96-3.10
S (0.7234, 0.1207, 0.0927)  6 La 2.92-3.12
S (0.7262, 0.0820, 0.7166)  5 La 2.85-3.09
S (0.7377, 0.8954, 0.8908)  4 La 2.85-3.05
S (0.7419, 0.3468, 0.3269)  4 La 2.84-2.95
S (0.7500, 0.2500, 0.5000)  4 La 2.76
S (0.7609, 0.6229, 0.7904)  5 La 2.91-3.06
S (0.7968, 0.8135, 0.6709)  5 La 2.96-3.10
S (0.8325, 0.9705, 0.2096)  5 La 2.91-3.06
S (0.8654, 0.5820, 0.3558)  5 La 2.85-3.09
S (0.8693, 0.4720, 0.0927)  6 La 2.92-3.12
S (0.8741, 0.2032, 0.0168)  5 La 2.96-3.10
S (0.8769, 0.3922, 0.8349)  5 La 2.98-3.18
S (0.8771, 0.7391, 0.2096)  5 La 2.91-3.06
S (0.8793, 0.9720, 0.6027)  6 La 2.92-3.12
S (0.9180, 0.6346, 0.6442)  5 La 2.85-3.09
S (0.9580, 0.1231, 0.5153)  5 La 2.98-3.18
S (0.9904, 0.2738, 0.3558)  5 La 2.85-3.09
O (0.0000, 0.0000, 0.0000)  4 La 2.45
O (0.5000, 0.5000, 0.0000)  4 La 2.45

Calculated values
- Crystal system: tetragonal
- ρ: 4.97 g cm⁻³
- Formation energy (no corrections): -2252.7 meV/atom
- E above lowest polymorph: 0.0 meV/atom
- Symmetry: I-4c2 (120)

=====

Entry from Alexandria via LeMat-Bulk: a relaxed structure of La2S2O (PBE).

Lattice parameters (Å, degrees): 8.7137 7.3501 7.1912 90.00 97.96 90.00
Closest atoms and distances in Å follow each position.
Fractional coordinates of all 20 atoms:
La (0.0825, 0.1305, 0.3089)  3 O 2.40-2.45
La (0.0825, 0.3695, 0.8089)  3 O 2.40-2.45
La (0.3607, 0.5558, 0.2474)  1 O 2.39
La (0.3607, 0.9442, 0.7474)  1 O 2.39
La (0.6393, 0.0558, 0.2526)  1 O 2.39
La (0.6393, 0.4442, 0.7526)  1 O 2.39
La (0.9175, 0.6305, 0.1911)  3 O 2.40-2.45
La (0.9175, 0.8695, 0.6911)  3 O 2.40-2.45
S (0.1717, 0.6523, 0.5546)  5 La 2.93-3.19
S (0.1717, 0.8477, 0.0546)  5 La 2.93-3.19
S (0.4216, 0.2275, 0.4733)  5 La 2.92-3.11, 1 O 3.26
S (0.4216, 0.2725, 0.9733)  5 La 2.92-3.11, 1 O 3.26
S (0.5784, 0.7275, 0.0267)  5 La 2.92-3.11, 1 O 3.26
S (0.5784, 0.7725, 0.5267)  5 La 2.92-3.11, 1 O 3.26
S (0.8283, 0.1523, 0.9454)  5 La 2.93-3.19
S (0.8283, 0.3477, 0.4454)  5 La 2.93-3.19
O (0.1172, 0.0877, 0.6498)  4 La 2.39-2.45
O (0.1172, 0.4123, 0.1498)  4 La 2.39-2.45
O (0.8828, 0.5877, 0.8502)  4 La 2.39-2.45
O (0.8828, 0.9123, 0.3502)  4 La 2.39-2.45

Calculated values
- Crystal system: monoclinic
- ρ: 5.21 g cm⁻³
- Formation energy (no corrections): -2696.1 meV/atom
- E above lowest polymorph: 0.0 meV/atom
- Symmetry: P2_1/c (14)

=====

Entry from Alexandria via LeMat-Bulk: a relaxed structure of La2S2O (PBE).

Lattice parameters (Å, degrees): 7.3038 7.3038 7.3038 126.51 74.62 132.08
Closest atoms and distances in Å follow each position.
Fractional coordinates of all 10 atoms:
La (0.1074, 0.2126, 0.3199)  2 O 2.39
La (0.3926, 0.7126, 0.1052)  2 O 2.39
La (0.6074, 0.2874, 0.8948)  2 O 2.39
La (0.8926, 0.7874, 0.6801)  2 O 2.39
S (0.1448, 0.6603, 0.8051)  5 La 2.90-3.11, 2 O 3.16
S (0.3552, 0.1603, 0.5155)  5 La 2.90-3.11, 2 O 3.16
S (0.6448, 0.8397, 0.4845)  5 La 2.90-3.11, 2 O 3.16
S (0.8552, 0.3397, 0.1949)  5 La 2.90-3.11, 2 O 3.16
O (0.2500, 0.2500, 0.0000)  4 La 2.39
O (0.7500, 0.7500, 0.0000)  4 La 2.39

Calculated values
- Crystal system: orthorhombic
- ρ: 5.25 g cm⁻³
- Formation energy (no corrections): -2666.0 meV/atom
- E above lowest polymorph: 30.0 meV/atom
- Symmetry: Ibam (72)

=====

Entry from Alexandria via LeMat-Bulk: a relaxed structure of LaSO2 (PBE).

Lattice parameters (Å, degrees): 3.9168 3.9168 16.6679 90.00 90.00 120.00
Closest atoms and distances in Å follow each position.
Fractional coordinates of all 12 atoms:
La (0.0000, 0.0000, 0.0000)  6 O 2.43
La (0.3333, 0.6667, 0.6667)  6 O 2.43
La (0.6667, 0.3333, 0.3333)  6 O 2.43
S (0.0000, 0.0000, 0.5000)  2 O 1.90
S (0.3333, 0.6667, 0.1667)  2 O 1.90
S (0.6667, 0.3333, 0.8333)  2 O 1.90
O (0.0000, 0.0000, 0.3862)  1 S 1.90
O (0.0000, 0.0000, 0.6138)  1 S 1.90
O (0.3333, 0.6667, 0.0529)  1 S 1.90
O (0.3333, 0.6667, 0.2804)  1 S 1.90
O (0.6667, 0.3333, 0.7196)  1 S 1.90
O (0.6667, 0.3333, 0.9471)  1 S 1.90

Calculated values
- Crystal system: trigonal
- ρ: 4.57 g cm⁻³
- Formation energy (no corrections): -1939.7 meV/atom
- E above lowest polymorph: 0.0 meV/atom
- Symmetry: R-3m (166)

=====

Entry from Alexandria via LeMat-Bulk: a relaxed structure of LaS4O12 (PBE).

Lattice parameters (Å, degrees): 6.1397 6.1397 6.1397 109.47 109.47 109.47
Closest atoms and distances in Å follow each position.
Fractional coordinates of all 17 atoms:
La (0.0000, 0.0000, 0.0000)  12 O 2.50
S (0.0000, 0.0000, 0.5000)  6 O 1.83
S (0.0000, 0.5000, 0.0000)  6 O 1.83
S (0.5000, 0.0000, 0.0000)  6 O 1.83
S (0.5000, 0.5000, 0.5000)  6 O 1.83
O (0.0884, 0.2896, 0.7988)  2 S 1.83
O (0.2012, 0.4907, 0.2896)  2 S 1.83
O (0.2012, 0.9116, 0.7104)  2 S 1.83
O (0.2896, 0.2012, 0.4907)  2 S 1.83
O (0.2896, 0.7988, 0.0884)  2 S 1.83
O (0.4907, 0.2896, 0.2012)  2 S 1.83
O (0.5093, 0.7104, 0.7988)  2 S 1.83
O (0.7104, 0.2012, 0.9116)  2 S 1.83
O (0.7104, 0.7988, 0.5093)  2 S 1.83
O (0.7988, 0.0884, 0.2896)  2 S 1.83
O (0.7988, 0.5093, 0.7104)  2 S 1.83
O (0.9116, 0.7104, 0.2012)  2 S 1.83

Calculated values
- Crystal system: cubic
- ρ: 4.28 g cm⁻³
- Formation energy (no corrections): -455.7 meV/atom
- Symmetry: Im-3 (204)

=====

Entry from Alexandria via LeMat-Bulk: a relaxed structure of LaS3O9 (PBE).

Lattice parameters (Å, degrees): 7.4760 7.4760 7.4398 90.00 90.00 100.41
Closest atoms and distances in Å follow each position.
Fractional coordinates of all 26 atoms:
La (0.1184, 0.1184, 0.0000)  8 O 2.50-2.64
La (0.8816, 0.8816, 0.5000)  8 O 2.50-2.64
S (0.2239, 0.2239, 0.5000)  2 O 1.56
S (0.2715, 0.6351, 0.9460)  3 O 1.43-1.49
S (0.3649, 0.7285, 0.5540)  3 O 1.43-1.49
S (0.6351, 0.2715, 0.0540)  3 O 1.43-1.49
S (0.7285, 0.3649, 0.4460)  3 O 1.43-1.49
S (0.7761, 0.7761, 0.0000)  2 O 1.56
O (0.1107, 0.1404, 0.6650)  1 S 1.56
O (0.1404, 0.1107, 0.3350)  1 S 1.56
O (0.1473, 0.4559, 0.9517)  1 S 1.49
O (0.1752, 0.7886, 0.9349)  1 S 1.46
O (0.2114, 0.8248, 0.5651)  1 S 1.46
O (0.3462, 0.5861, 0.4237)  1 S 1.43
O (0.3755, 0.6245, 0.7500)  2 S 1.66
O (0.4139, 0.6538, 0.0763)  1 S 1.43
O (0.4559, 0.1473, 0.0483)  1 S 1.49
O (0.5441, 0.8527, 0.5483)  1 S 1.49
O (0.5861, 0.3462, 0.5763)  1 S 1.43
O (0.6245, 0.3755, 0.2500)  2 S 1.66
O (0.6538, 0.4139, 0.9237)  1 S 1.43
O (0.7886, 0.1752, 0.0651)  1 S 1.46
O (0.8248, 0.2114, 0.4349)  1 S 1.46
O (0.8527, 0.5441, 0.4517)  1 S 1.49
O (0.8596, 0.8893, 0.8350)  1 S 1.56
O (0.8893, 0.8596, 0.1650)  1 S 1.56

Calculated values
- Crystal system: orthorhombic
- ρ: 3.08 g cm⁻³
- Formation energy (no corrections): -1619.7 meV/atom
- Symmetry: C222_1 (20)

=====

Entry from Alexandria via LeMat-Bulk: a relaxed structure of La3S3O (PBE).

Lattice parameters (Å, degrees): 11.9032 4.1144 13.2056 90.00 90.00 90.00
Closest atoms and distances in Å follow each position.
Fractional coordinates of all 28 atoms:
La (0.0352, 0.2500, 0.1543)  2 O 2.36
La (0.1029, 0.2500, 0.6114)  1 O 2.61, 4 S 2.88-2.91
La (0.2420, 0.2500, 0.8709)  1 O 2.45
La (0.2580, 0.7500, 0.3709)  1 O 2.45
La (0.3971, 0.7500, 0.1114)  1 O 2.61, 4 S 2.88-2.91
La (0.4648, 0.7500, 0.6543)  2 O 2.36
La (0.5352, 0.2500, 0.3457)  2 O 2.36
La (0.6029, 0.2500, 0.8886)  1 O 2.61, 4 S 2.88-2.91
La (0.7420, 0.2500, 0.6291)  1 O 2.45
La (0.7580, 0.7500, 0.1291)  1 O 2.45
La (0.8971, 0.7500, 0.3886)  1 O 2.61, 4 S 2.88-2.91
La (0.9648, 0.7500, 0.8457)  2 O 2.36
S (0.0705, 0.2500, 0.3878)  6 La 2.91-3.11
S (0.1479, 0.7500, 0.0073)  6 La 2.96-3.27
S (0.2280, 0.7500, 0.7138)  5 La 2.88-2.93, 2 O 3.18
S (0.2720, 0.2500, 0.2138)  5 La 2.88-2.93, 2 O 3.18
S (0.3521, 0.2500, 0.5073)  6 La 2.96-3.27
S (0.4295, 0.7500, 0.8878)  6 La 2.91-3.11
S (0.5705, 0.2500, 0.1122)  6 La 2.91-3.11
S (0.6479, 0.7500, 0.4927)  6 La 2.96-3.27
S (0.7280, 0.7500, 0.7862)  5 La 2.88-2.93, 2 O 3.18
S (0.7720, 0.2500, 0.2862)  5 La 2.88-2.93, 2 O 3.18
S (0.8521, 0.2500, 0.9927)  6 La 2.96-3.27
S (0.9295, 0.7500, 0.6122)  6 La 2.91-3.11
O (0.0506, 0.2500, 0.8034)  4 La 2.36-2.61
O (0.4494, 0.7500, 0.3034)  4 La 2.36-2.61
O (0.5506, 0.2500, 0.6966)  4 La 2.36-2.61
O (0.9494, 0.7500, 0.1966)  4 La 2.36-2.61

Calculated values
- Crystal system: orthorhombic
- ρ: 5.43 g cm⁻³
- Formation energy (no corrections): -2516.0 meV/atom
- E above lowest polymorph: 0.0 meV/atom
- Symmetry: Pnma (62)

=====

Entry from Alexandria via LeMat-Bulk: a relaxed structure of La3S2O2 (PBE).

Lattice parameters (Å, degrees): 7.9339 7.9339 11.6208 120.62 120.62 29.06
Closest atoms and distances in Å follow each position.
Fractional coordinates of all 14 atoms:
La (0.1008, 0.1008, 0.1665)  1 O 2.31
La (0.1346, 0.1346, 0.7925)  3 O 2.38-2.44
La (0.3951, 0.3951, 0.5371)  4 O 2.40-2.45
La (0.6049, 0.6049, 0.4629)  4 O 2.40-2.45
La (0.8654, 0.8654, 0.2075)  3 O 2.38-2.44
La (0.8992, 0.8992, 0.8335)  1 O 2.31
S (0.2567, 0.2567, 0.6540)  6 La 2.88-3.07
S (0.3931, 0.3931, 0.0287)  6 La 3.06-3.37
S (0.6069, 0.6069, 0.9713)  6 La 3.06-3.37
S (0.7433, 0.7433, 0.3460)  6 La 2.88-3.07
O (0.0474, 0.0474, 0.3189)  4 La 2.31-2.45
O (0.4217, 0.4217, 0.3503)  4 La 2.40-2.44
O (0.5783, 0.5783, 0.6497)  4 La 2.40-2.44
O (0.9526, 0.9526, 0.6811)  4 La 2.31-2.45

Calculated values
- Crystal system: monoclinic
- ρ: 5.64 g cm⁻³
- Formation energy (no corrections): -2782.9 meV/atom
- E above lowest polymorph: 0.0 meV/atom
- Symmetry: C2/m (12)